1.
Material: B3RuS
Method: DFT, PBE
State: relaxed

a = 4.100 Å, b = 4.100 Å, c = 4.100 Å
α = 90.00°, β = 90.00°, γ = 90.00°
Atoms (fractional coordinates):
B 0.000 0.000 0.500
B 0.000 0.500 0.000
B 0.500 0.000 0.000
Ru 0.000 0.000 0.000
S 0.500 0.500 0.500

Magnetization in μB/atom: 0.00
Crystal system: cubic
Formation energy from raw total energies in eV/atom: 1.42

***

2.
Material: GaFeSb3
Method: DFT, PBE
State: relaxed

a = 4.956 Å, b = 4.956 Å, c = 4.956 Å
α = 90.00°, β = 90.00°, γ = 90.00°
Atoms (fractional coordinates):
Ga 0.000 0.000 0.000
Fe 0.500 0.500 0.500
Sb 0.000 0.500 0.500
Sb 0.500 0.000 0.500
Sb 0.500 0.500 0.000

Magnetization in μB/atom: 0.29
Crystal system: cubic
Formation energy from raw total energies in eV/atom: 0.41

***

Among the records above, which one has the lowest formation energy from raw total energies?
GaFeSb3